1.
# Rb3ZrBi

Crystalline Rb3ZrBi at its relaxed geometry (PBE, the Alexandria database).

Computed properties:
Energy relative to the elements (meV/atom): 885
Polymorph energy (0 for the lowest one) (kJ per mole of atoms): 0.0
Fermi-level density of states (states/eV/f.u.): 7.343

```
data_Rb3ZrBi
_space_group_name_H-M_alt 'P m -3 m'
_space_group_IT_number 221
_space_group_name_Hall '-P 4 2 3'
_cell_length_a 7.094
_cell_length_b 7.094
_cell_length_c 7.094
_cell_angle_alpha 90.00
_cell_angle_beta 90.00
_cell_angle_gamma 90.00
loop_
_atom_site_label
_atom_site_fract_x
_atom_site_fract_y
_atom_site_fract_z
Rb1 0.000 0.000 0.500
Zr1 0.500 0.500 0.500
Bi1 0.000 0.000 0.000
```

---

2.
# RbZrBi3

Crystalline RbZrBi3 at its relaxed geometry (PBE, the Alexandria database).

Computed properties:
Energy relative to the elements (meV/atom): 1558
Polymorph energy (0 for the lowest one) (kJ per mole of atoms): 161.7
Fermi-level density of states (states/eV/f.u.): 4.891

```
data_RbZrBi3
_space_group_name_H-M_alt 'P m -3 m'
_space_group_IT_number 221
_space_group_name_Hall '-P 4 2 3'
_cell_length_a 5.836
_cell_length_b 5.836
_cell_length_c 5.836
_cell_angle_alpha 90.00
_cell_angle_beta 90.00
_cell_angle_gamma 90.00
loop_
_atom_site_label
_atom_site_fract_x
_atom_site_fract_y
_atom_site_fract_z
Rb1 0.000 0.000 0.000
Zr1 0.500 0.500 0.500
Bi1 0.000 0.000 0.500
```

---

3.
# RbZr2Bi2

Crystalline RbZr2Bi2 at its relaxed geometry (PBE, the Alexandria database).

Computed properties:
Energy relative to the elements (meV/atom): -43
Polymorph energy (0 for the lowest one) (kJ per mole of atoms): 15.6
Fermi-level density of states (states/eV/f.u.): 4.642

```
data_RbZr2Bi2
_space_group_name_H-M_alt 'P 4/m b m'
_space_group_IT_number 127
_space_group_name_Hall '-P 4 2ab'
_cell_length_a 9.286
_cell_length_b 9.286
_cell_length_c 3.354
_cell_angle_alpha 90.00
_cell_angle_beta 90.00
_cell_angle_gamma 90.00
loop_
_atom_site_label
_atom_site_fract_x
_atom_site_fract_y
_atom_site_fract_z
Rb1 0.000 0.000 0.000
Zr1 0.112 0.388 0.000
Bi1 0.171 0.671 0.500
```

---

4.
# RbZr2Bi2

Crystalline RbZr2Bi2 at its relaxed geometry (PBE, the Alexandria database).

Computed properties:
Energy relative to the elements (meV/atom): 11
Polymorph energy (0 for the lowest one) (kJ per mole of atoms): 20.8
Fermi-level density of states (states/eV/f.u.): 4.031

```
data_RbZr2Bi2
_space_group_name_H-M_alt 'P 4/m b m'
_space_group_IT_number 127
_space_group_name_Hall '-P 4 2ab'
_cell_length_a 9.042
_cell_length_b 9.042
_cell_length_c 3.677
_cell_angle_alpha 90.00
_cell_angle_beta 90.00
_cell_angle_gamma 90.00
loop_
_atom_site_label
_atom_site_fract_x
_atom_site_fract_y
_atom_site_fract_z
Rb1 0.000 0.000 0.000
Zr1 0.121 0.379 0.500
Bi1 0.155 0.655 0.000
```

---

5.
# Rb6ZrBi4

Crystalline Rb6ZrBi4 at its relaxed geometry (PBE, the Alexandria database).

Computed properties:
Energy relative to the elements (meV/atom): -321
Fermi-level density of states (states/eV/f.u.): 7.681

```
data_Rb6ZrBi4
_space_group_name_H-M_alt 'P 63 m c'
_space_group_IT_number 186
_space_group_name_Hall 'P 6c -2c'
_cell_length_a 11.8406
_cell_length_b 11.8406
_cell_length_c 9.2857
_cell_angle_alpha 90.00
_cell_angle_beta 90.00
_cell_angle_gamma 120.00
loop_
_atom_site_label
_atom_site_fract_x
_atom_site_fract_y
_atom_site_fract_z
Rb1 0.0596 0.5298 0.0000
Rb2 0.1429 0.2858 0.6841
Zr1 0.3333 0.6667 0.3853
Bi1 0.1981 0.3961 0.2948
Bi2 0.3333 0.6667 0.6957
```

---

6.
# Rb2ZrBi2

Crystalline Rb2ZrBi2 at its relaxed geometry (PBE, the Alexandria database).

Computed properties:
Energy relative to the elements (meV/atom): -332
Polymorph energy (0 for the lowest one) (kJ per mole of atoms): 0.0
Fermi-level density of states (states/eV/f.u.): 0.317

```
data_Rb2ZrBi2
_space_group_name_H-M_alt 'I b a m'
_space_group_IT_number 72
_space_group_name_Hall '-I 2 2c'
_cell_length_a 8.126
_cell_length_b 15.456
_cell_length_c 7.434
_cell_angle_alpha 90.00
_cell_angle_beta 90.00
_cell_angle_gamma 90.00
loop_
_atom_site_label
_atom_site_fract_x
_atom_site_fract_y
_atom_site_fract_z
Rb1 0.160 0.149 0.000
Zr1 0.000 0.500 0.250
Bi1 0.188 0.394 0.000
```